1.
Be2Hg | GGA-PBE | relaxed

Output
ΔE to the lowest computed polymorph: 0.80 eV/f.u.
magnetization: 0.00 μB/cell
formation energy: 0.53 eV per atom

Cell: 5.5287 5.5287 5.5287 Å, 150.40 150.40 42.35°
Positions (direct):
Hg 0.0000 0.0000 0.0000
Be 0.3005 0.3005 0.0000
Be 0.6995 0.6995 0.0000


2.
Ac2Ce2Ge4Pt | GGA-PBE | relaxed

Output
magnetization: 2.17 μB/cell
formation energy: -0.55 eV per atom

Cell: 6.7673 6.7673 6.7673 Å, 101.55 113.57 113.57°
Last column: magnetic moment on the atom in μB.
Positions (direct):
Ce 0.0000 0.6606 0.6606  0.84
Ce 0.0000 0.3394 0.3394  0.84
Ge 0.0000 0.7584 0.2416  -0.01
Ge 0.0000 0.2416 0.7584  -0.01
Ge 0.5167 0.7584 0.7584  -0.01
Ge 0.4833 0.2416 0.2416  -0.01
Ac 0.5000 0.2500 0.7500  0.04
Ac 0.5000 0.7500 0.2500  0.04
Pt 0.0000 0.0000 0.0000  0.00


> What is the formula in the first record?

Be2Hg


> What is the formation energy in the first record?

0.53 eV per atom


Please write out number 2 again, unchanged.
Ac2Ce2Ge4Pt | GGA-PBE | relaxed

Output
magnetization: 2.17 μB/cell
formation energy: -0.55 eV per atom

Cell: 6.7673 6.7673 6.7673 Å, 101.55 113.57 113.57°
Last column: magnetic moment on the atom in μB.
Positions (direct):
Ce 0.0000 0.6606 0.6606  0.84
Ce 0.0000 0.3394 0.3394  0.84
Ge 0.0000 0.7584 0.2416  -0.01
Ge 0.0000 0.2416 0.7584  -0.01
Ge 0.5167 0.7584 0.7584  -0.01
Ge 0.4833 0.2416 0.2416  -0.01
Ac 0.5000 0.2500 0.7500  0.04
Ac 0.5000 0.7500 0.2500  0.04
Pt 0.0000 0.0000 0.0000  0.00